This record from Alexandria describes a relaxed structure of Er6AgBi3. The functional is PBE.

abc: 11.0380 15.6764 7.0792
angles: 90.00 90.00 90.00
Space group Cmc2_1 (No. 36)
Unique sites:
1 Er 0.0000 0.0181 0.0000 x4
2 Er 0.0000 0.2526 0.0978 x4
3 Er 0.1769 0.2726 0.5451 x8
4 Er 0.1966 0.4373 0.1794 x8
5 Ag 0.0000 0.1553 0.7258 x4
6 Bi 0.0000 0.4326 0.4975 x4
7 Bi 0.1775 0.1051 0.2941 x8

Its size of the total moment is 0.000 μB/atom. The calculation puts the formation energy at -356.1 meV/atom.